a) # SrLiGa6

A geometry-optimized SrLiGa6 structure (PBE, Alexandria via LeMat-Bulk).

Computed properties:
Size of the total moment   0.00 μB per cell

```
8
Lattice="-2.201 -3.073 2.527 3.979 -1.678 1.426 -0.054 5.002 6.035" Properties=species:S:1:pos:R:3 pbc="T T T"
Ga -1.119 0.126 3.269
Ga 0.880 -1.569 2.949
Li -0.027 2.501 3.018
Ga 1.971 0.824 2.719
Sr 0.000 0.000 0.000
Ga 0.844 1.820 7.039
Ga 1.953 2.500 4.742
Ga -1.137 1.803 5.293
```

b) # SrLiGa6

A geometry-optimized SrLiGa6 structure (PBE, Alexandria via LeMat-Bulk).

Computed properties:
Size of the total moment   0.00 μB per cell

```
8
Lattice="4.458 0.000 0.000 0.000 5.393 0.000 0.000 0.000 6.898" Properties=species:S:1:pos:R:3 pbc="T T T"
Ga 0.000 0.956 4.880
Sr 0.000 3.566 0.000
Ga 2.229 4.691 2.114
Ga 0.000 0.956 2.018
Ga 0.000 3.628 3.449
Ga 2.229 1.041 0.000
Ga 2.229 4.691 4.785
Li 2.229 2.043 3.449
```

Which of them is the most stable, and which is the least stable? a) and b), in that order.

a) # Sr8Li2Ga

A geometry-optimized Sr8Li2Ga structure (PBE, Alexandria via LeMat-Bulk).

Computed properties:
Size of the total moment   0.00 μB per cell

```
11
Lattice="-4.886 -0.227 3.468 -3.420 -5.171 -5.158 7.693 -5.437 5.300" Properties=species:S:1:pos:R:3 pbc="T T T"
Sr -2.453 -4.373 -3.742
Li -0.534 -5.705 -1.126
Ga -2.443 -0.114 1.734
Sr 2.344 -7.512 2.811
Sr -2.957 -3.323 0.799
Sr 1.082 -3.841 1.273
Sr 1.840 -6.462 7.352
Sr 3.494 -3.994 4.661
Sr -4.107 -6.841 -1.051
Li -0.079 -5.130 4.736
Sr -1.695 -6.994 2.337
```

b) # Sr8Li2Ga

A geometry-optimized Sr8Li2Ga structure (PBE, Alexandria via LeMat-Bulk).

Computed properties:
Size of the total moment   0.00 μB per cell

```
11
Lattice="6.902 -0.451 -1.503 -3.052 8.380 -5.032 -0.408 -1.605 10.106" Properties=species:S:1:pos:R:3 pbc="T T T"
Sr -0.273 3.738 5.088
Sr 0.036 1.830 1.201
Sr -0.886 6.056 1.574
Sr 5.873 -0.147 5.740
Sr 3.842 0.332 2.154
Sr 2.868 4.489 2.460
Ga 1.971 -0.097 -0.408
Li 1.000 5.331 -1.289
Sr 3.221 2.678 -1.402
Li 2.104 1.163 5.030
Sr 4.238 6.030 -3.624
```

Which of them is the most stable, and which is the least stable? a) and b), in that order.

a) # SrLiGa

A geometry-optimized SrLiGa structure (PBE, Alexandria via LeMat-Bulk).

Computed properties:
Size of the total moment   0.00 μB per cell

```
12
Lattice="6.707 0.000 0.000 -3.353 7.113 0.000 0.000 0.000 6.707" Properties=species:S:1:pos:R:3 pbc="T T T"
Sr 0.000 2.432 3.357
Ga 3.353 1.319 3.354
Ga 3.353 5.794 0.001
Ga 0.000 5.794 3.353
Li 1.677 0.003 1.677
Sr 0.000 4.681 0.003
Sr 3.353 4.681 3.350
Li 5.030 0.003 1.677
Li -1.677 7.111 5.030
Sr 3.353 2.432 6.704
Ga 0.000 1.319 6.706
Li 1.677 7.111 5.030
```

b) # SrLiGa

A geometry-optimized SrLiGa structure (PBE, Alexandria via LeMat-Bulk).

Computed properties:
Size of the total moment   0.00 μB per cell

```
3
Lattice="-0.046 -4.151 0.190 4.088 0.070 2.507 -4.215 0.151 2.282" Properties=species:S:1:pos:R:3 pbc="T T T"
Li 1.312 -0.596 2.464
Sr -1.478 -2.644 2.484
Ga -0.008 -0.690 0.032
```

Which of them is the most stable, and which is the least stable? a) and b), in that order.